# 1
Here is crystalline ZnCuTc at its relaxed geometry from Alexandria via LeMat-Bulk. Energies are from PBE.

Calculated values
energy of formation: -0.031 eV per atom
VASP energy: -5.276 eV per atom
magnetic moment: 0.00 Bohr magnetons per cell

abc: 2.986 2.986 9.185
angles: 90.00 90.00 90.00
Fractional coordinates of all 6 atoms:
Tc1 0.500 0.000 0.422
Tc2 0.000 0.500 0.578
Zn1 0.500 0.000 0.768
Zn2 0.000 0.500 0.232
Cu1 0.500 0.000 0.079
Cu2 0.000 0.500 0.921


# 2
Here is crystalline Be2AuCl at its relaxed geometry from Alexandria via LeMat-Bulk. Energies are from PBE.

Calculated values
VASP energy: -2.145 eV per atom
magnetic moment: 0.00 Bohr magnetons per cell
formation energy (no corrections): 0.999 eV per atom

abc: 4.502 4.502 4.502
angles: 60.00 60.00 60.00
Fractional coordinates of all 4 atoms:
Cl1 0.750 0.750 0.750
Be1 0.250 0.250 0.250
Be2 0.000 0.000 0.000
Au1 0.500 0.500 0.500


# 3
Here is crystalline Pm3BeTe6 at its relaxed geometry from Alexandria via LeMat-Bulk. Energies are from PBE.

Calculated values
VASP energy: -4.764 eV per atom
magnetic moment: 0.00 Bohr magnetons per cell
formation energy (no corrections): -1.081 eV per atom

abc: 6.900 9.940 9.940
angles: 101.70 90.00 90.00
Fractional coordinates of all 20 atoms:
Te1 0.690 0.220 0.780
Te2 0.678 0.576 0.091
Te3 0.678 0.909 0.424
Te4 0.178 0.424 0.909
Te5 0.153 0.047 0.953
Te6 0.696 0.642 0.674
Te7 0.190 0.780 0.220
Te8 0.696 0.326 0.358
Te9 0.653 0.953 0.047
Te10 0.178 0.091 0.576
Te11 0.196 0.358 0.326
Te12 0.196 0.674 0.642
Pm1 0.891 0.626 0.374
Pm2 0.391 0.374 0.626
Pm3 0.482 0.274 0.066
Pm4 0.982 0.726 0.934
Pm5 0.982 0.066 0.274
Pm6 0.482 0.934 0.726
Be1 0.039 0.200 0.800
Be2 0.539 0.800 0.200